The following is a PBE calculation of crystalline Pu2Co2Rh at its relaxed geometry, from Alexandria via LeMat-Bulk.

total energy = -10.25 eV per atom
volume = 17.449 A^3/atom

a b c (Å): 4.3959 5.0021 7.9354
angles (deg): 90.00 90.00 90.00
With the nearest neighbours (Å) after each atom.
Space group Immm (No. 71)
Symmetry-distinct sites (fractional):
Pu (0.0000, 0.0000, 0.2040) x4  6 Co 2.70-2.97, 2 Rh 2.98
Co (0.0000, 0.2658, 0.5000) x4  1 Co 2.34, 2 Rh 2.57
Rh (0.0000, 0.5000, 0.0000) x2  4 Co 2.57



The following is a PBE calculation of crystalline Ac3In2Pd9Au at its relaxed geometry, from Alexandria via LeMat-Bulk.

total energy = -4.92 eV per atom
volume = 26.033 A^3/atom

a b c (Å): 6.8010 6.8010 9.7484
angles (deg): 90.00 90.00 120.00
With the nearest neighbours (Å) after each atom.
Space group P-3m1 (No. 164)
Symmetry-distinct sites (fractional):
Ac (0.0000, 0.0000, 0.0000) x1  12 Pd 3.07-3.40
Ac (0.3333, 0.6667, 0.7365) x2  9 Pd 3.23-3.43
In (0.3333, 0.6667, 0.1837) x2  6 Pd 2.53-2.66
Pd (0.0000, 0.5000, 0.0000) x3  2 In 2.66
Pd (0.1314, 0.2628, 0.2721) x6  1 In 2.53, 2 Pd 2.68, 1 Au 2.71
Au (0.0000, 0.0000, 0.5000) x1  6 Pd 2.71



The following is a PBE calculation of crystalline KCd2Te at its relaxed geometry, from Alexandria via LeMat-Bulk.

ΔE_f (raw) = -0.114 eV/atom
volume = 31.523 A^3/atom

a b c (Å): 6.3732 12.1031 3.2694
angles (deg): 90.00 90.00 90.00
With the nearest neighbours (Å) after each atom.
Space group Cmmm (No. 65)
Symmetry-distinct sites (fractional):
K (0.0000, 0.0000, 0.0000) x2  2 Te 3.19, 2 K 3.27
Cd (0.2500, 0.2500, 0.5000) x4  4 Cd 3.19-3.27
Te (0.0000, 0.5000, 0.0000) x2  2 K 3.19, 2 Te 3.27



The following is a PBE calculation of crystalline Ba3Li2Al9 at its relaxed geometry, from Alexandria via LeMat-Bulk.

total energy = -3.26 eV per atom
volume = 24.402 A^3/atom

a b c (Å): 4.7457 10.2146 14.0947
angles (deg): 90.00 90.00 90.00
With the nearest neighbours (Å) after each atom.
Space group Immm (No. 71)
Symmetry-distinct sites (fractional):
Ba (0.0000, 0.0000, 0.0000) x2  12 Al 3.47-3.60
Ba (0.0000, 0.0000, 0.3058) x4  14 Al 3.38-3.72, 2 Li 3.38
Li (0.0000, 0.1941, 0.5000) x4  8 Al 2.87-3.15
Al (0.0000, 0.2746, 0.1454) x8  4 Al 2.76-3.08
Al (0.0000, 0.3616, 0.3360) x8  4 Al 2.76-2.83, 1 Li 2.87
Al (0.0000, 0.5000, 0.0000) x2  4 Al 3.08, 4 Li 3.09



The following is a PBE calculation of crystalline Sr3Cd8Ag at its relaxed geometry, from Alexandria via LeMat-Bulk.

total energy = -1.49 eV per atom
volume = 26.729 A^3/atom

a b c (Å): 6.0362 6.0362 30.4945
angles (deg): 90.00 90.00 120.00
With the nearest neighbours (Å) after each atom.
Space group R3m (No. 160, hexagonal axes)
Symmetry-distinct sites (fractional):
Sr (0.0000, 0.0000, 0.0000) x3  12 Cd 3.46-3.63, 3 Ag 3.70
Sr (0.0000, 0.0000, 0.1280) x3  12 Cd 3.56-3.71, 4 Sr 3.82-3.90
Sr (0.0000, 0.0000, 0.5127) x3  1 Ag 3.44, 9 Cd 3.47-3.58, 3 Sr 3.82
Cd (0.0000, 0.0000, 0.3168) x3  6 Cd 3.03-3.07
Cd (0.0000, 0.0000, 0.8187) x3  6 Cd 3.08-3.14
Cd (0.1672, 0.3344, 0.3994) x9  6 Cd 3.01-3.14
Cd (0.1670, 0.3341, 0.9020) x9  6 Cd 3.01-3.08
Ag (0.0000, 0.0000, 0.6255) x3  4 Sr 3.44-3.70, 12 Cd 3.48-3.70



The following is a PBE calculation of crystalline SeBr2ClO at its relaxed geometry, from Alexandria via LeMat-Bulk.

ΔE_f (raw) = 0.724 eV/atom
excess energy over the best structure of this formula in the dataset = 0 meV/atom
volume = 20.826 A^3/atom

a b c (Å): 4.8893 4.8893 4.3559
angles (deg): 90.00 90.00 90.00
With the nearest neighbours (Å) after each atom.
Space group P4/mmm (No. 123)
Symmetry-distinct sites (fractional):
Se (0.0000, 0.0000, 0.0000) x1  2 O 2.18
Br (0.0000, 0.5000, 0.5000) x2  2 O 2.44
Cl (0.5000, 0.5000, 0.0000) x1  8 Br 3.27, 4 Se 3.46
O (0.0000, 0.0000, 0.5000) x1  2 Se 2.18



The following is a PBE calculation of crystalline KTaNb2 at its relaxed geometry, from Alexandria via LeMat-Bulk.

excess energy over the best structure of this formula in the dataset = 0 meV/atom
volume = 20.782 A^3/atom

a b c (Å): 6.9279 6.9279 6.9279
angles (deg): 90.00 90.00 90.00
With the nearest neighbours (Å) after each atom.
Space group Fm-3m (No. 225)
Symmetry-distinct sites (fractional):
K (0.0000, 0.0000, 0.0000) x4  8 Nb 3.00
Ta (0.0000, 0.0000, 0.5000) x4  8 Nb 3.00
Nb (0.2500, 0.2500, 0.2500) x8  4 Ta 3.00, 4 K 3.00